[1]
DFT (GGA-PBE) results for an optimized crystal structure of TlPbI.

Results
volume: 35.865 Å³ per atom
formation energy without anion corrections: -0.1703 eV/atom
E: -16.3 eV for the cell shown

Unit cell a=5.5634 b=3.9341 c=13.9040 alpha=90.00 beta=90.00 gamma=135.00
Fractional coordinates of all 6 atoms:
Tl  0.7021  0.4042  0.6488
Tl  0.7021  0.4042  0.3512
I  0.1872  0.3744  0.8569
I  0.1872  0.3744  0.1431
Pb  0.2028  0.4055  0.5000
Pb  0.6852  0.3704  0.0000

***

[2]
DFT (GGA-PBE) results for an optimized crystal structure of Pm8NiGe3Br4.

Results
volume: 28.237 Å³ per atom
formation energy without anion corrections: -1.0383 eV/atom
E: -80.9 eV for the cell shown

Unit cell a=8.5090 b=8.7215 c=8.5092 alpha=119.21 beta=120.00 gamma=90.00
Fractional coordinates of all 16 atoms:
Pm  0.7391  0.7173  0.4782
Pm  0.2294  0.7088  0.4588
Pm  0.7706  0.2912  0.5412
Pm  0.2496  0.2914  0.0205
Pm  0.2609  0.2827  0.5218
Pm  0.7504  0.7086  0.9795
Pm  0.7709  0.2914  0.0205
Pm  0.2291  0.7086  0.9795
Ge  0.5000  0.5000  0.5000
Ge  0.5000  0.5000  0.0000
Ge  0.0000  0.5000  0.5000
Ni  0.0000  0.5000  0.0000
Br  0.0000  0.0000  0.0000
Br  0.5000  0.0000  0.0000
Br  0.0000  0.0000  0.5000
Br  0.5000  0.0000  0.5000

***

[3]
DFT (GGA-PBE) results for an optimized crystal structure of Li2FeTc.

Results
ΔH_f (0 K): 0.79 eV/atom
energy above the lowest structure with this stoichiometry: 0.588 eV/atom
volume: 13.263 Å³ per atom
E: -39.0 eV for the cell shown

Unit cell a=6.7379 b=6.7379 c=5.3068 alpha=50.59 beta=50.59 gamma=90.00
Each line ends with the local moment (μB).
Fractional coordinates of all 8 atoms:
Li  0.6126  0.1250  0.2500  -0.02
Li  0.1374  0.6250  0.2500  -0.02
Li  0.8750  0.8626  0.7500  -0.02
Li  0.3750  0.3874  0.7500  -0.02
Tc  0.7500  0.2500  0.5000  0.26
Tc  0.0000  0.0000  0.0000  0.26
Fe  0.2500  0.7500  0.5000  2.29
Fe  0.5000  0.5000  0.0000  2.30

***

What did we get for Fermi-level density of states? Answer: 3.04, 9.75, 7.99 states/eV per cell, in the order shown.